A plane-wave DFT calculation with GGA-PBEsol was carried out for a geometry-optimized TaAs2Au structure.

Unit cell a=2.8249 b=2.8249 c=9.7528 alpha=90.00 beta=90.00 gamma=105.48
Element x y z (fractional)
Ta: 0.0000 0.0000 0.0000
As: 0.5000 0.5000 0.2105
As: 0.5000 0.5000 0.7895
Au: 0.0000 0.0000 0.5000

Computed properties:
- E_tot (eV/cell) = -26.4
- M_tot (μB per formula unit) = 0.0
- DOS(E_F) (states/eV per cell) = 1.19